## NiHSN2 (PBE-GGA)

Data for crystalline NiHSN2 at its relaxed geometry.

Summary:
- VASP energy: -0.3131 Ry/atom
- Relative energy among the computed polymorphs: 0 meV per atom

Structure (POSCAR):
```
NiHSN2
1.0
-2.062 2.536 -1.264
-1.357 -2.256 -2.313
-3.599 -1.260 3.341
H Ni N S
1 1 2 1
Cartesian
-3.509 -0.490 -0.119 H
0.000 0.000 0.000 Ni
-1.031 1.268 -0.632 N
-0.678 -1.128 -1.157 N
-1.800 -0.630 1.670 S
```